A geometry-optimized TeAsSe2 structure. Source: Alexandria, functional PBE-GGA.

Unit cell a=8.3901 b=8.3901 c=8.3901 alpha=154.48 beta=153.72 gamma=36.96
Element x y z (fractional)
Se: 0.2544 0.7544 0.5000
Se: 0.9869 0.9869 0.0000
Te: 0.5472 0.5472 0.0000
As: 0.7115 0.2115 0.5000

Computed properties:
Space-group type ... Imm2 (44)
Formation energy without anion corrections ... 0.71 eV per formula unit

A geometry-optimized TeAs2Se structure. Source: Alexandria, functional PBE-GGA.

Unit cell a=3.7416 b=3.7443 c=7.8771 alpha=90.00 beta=90.00 gamma=90.00
Element x y z (fractional)
As: 0.5000 0.5000 0.0954
As: 0.0000 0.0000 0.1711
Te: 0.5000 0.5000 0.7708
Se: 0.0000 0.0000 0.4627

Computed properties:
Space-group type ... P4mm (99)
Formation energy without anion corrections ... 0.63 eV per formula unit

| no. | E above lowest polymorph (eV per atom) |
| --- | --- |
| 1 | 0.2276 |
| 2 | 0.0854 |